# 1
Computed, not measured: a relaxed ErPaCrSe6 crystal at the PBE level of DFT.

abc: 6.7488 6.7488 6.0584
angles: 90.00 90.00 120.00
With the nearest neighbours (Å) after each atom.
Sites, in units of the cell vectors:
Er 0.0000 0.0000 0.0000  6 Se 2.81
Pa 0.6667 0.3333 0.5000  6 Se 2.79
Cr 0.3333 0.6667 0.0000  6 Se 2.54
Se 0.0255 0.3653 0.2458  1 Cr 2.54, 1 Pa 2.79, 1 Er 2.81
Se 0.0255 0.6602 0.7542  1 Cr 2.54, 1 Pa 2.79, 1 Er 2.81
Se 0.3398 0.3653 0.7542  1 Cr 2.54, 1 Pa 2.79, 1 Er 2.81
Se 0.3398 0.9745 0.2458  1 Cr 2.54, 1 Pa 2.79, 1 Er 2.81
Se 0.6347 0.6602 0.2458  1 Cr 2.54, 1 Pa 2.79, 1 Er 2.81
Se 0.6347 0.9745 0.7542  1 Cr 2.54, 1 Pa 2.79, 1 Er 2.81

Output
Uncorrected formation energy (eV/f.u.): -8.97

***

# 2
Computed, not measured: a relaxed MgAlF5 crystal at the PBE level of DFT.

abc: 5.1137 5.1137 7.1525
angles: 110.61 110.61 72.59
With the nearest neighbours (Å) after each atom.
Sites, in units of the cell vectors:
Mg 0.0252 0.9748 0.7500  4 F 1.93-2.03
Mg 0.9748 0.0252 0.2500  4 F 1.93-2.03
Al 0.5000 0.5000 0.0000  6 F 1.79-1.86
Al 0.5000 0.5000 0.5000  6 F 1.79-1.86
F 0.1878 0.7782 0.0357  1 Al 1.82, 1 Mg 2.03
F 0.2218 0.8122 0.4643  1 Al 1.82, 1 Mg 2.03
F 0.2308 0.2889 0.3738  1 Al 1.79, 1 Mg 1.93
F 0.2889 0.2308 0.8738  1 Al 1.79, 1 Mg 1.93
F 0.4170 0.5830 0.7500  2 Al 1.86
F 0.5830 0.4170 0.2500  2 Al 1.86
F 0.7111 0.7692 0.1262  1 Al 1.79, 1 Mg 1.93
F 0.7692 0.7111 0.6262  1 Al 1.79, 1 Mg 1.93
F 0.7782 0.1878 0.5357  1 Al 1.82, 1 Mg 2.03
F 0.8122 0.2218 0.9643  1 Al 1.82, 1 Mg 2.03

Output
Uncorrected formation energy (eV/f.u.): -24.64

***

# 3
Computed, not measured: a relaxed Y3Pb2 crystal at the PBE level of DFT.

abc: 9.1380 5.2849 6.5966
angles: 90.00 90.00 90.00
With the nearest neighbours (Å) after each atom.
Sites, in units of the cell vectors:
Y 0.0000 0.0000 0.0000  6 Pb 3.34, 6 Y 3.68-3.69
Y 0.1670 0.5000 0.3145  5 Pb 3.13-3.44
Y 0.3330 0.0000 0.6855  5 Pb 3.13-3.44
Y 0.5000 0.5000 0.0000  6 Pb 3.34, 6 Y 3.68-3.69
Y 0.6670 0.0000 0.3145  5 Pb 3.13-3.44
Y 0.8330 0.5000 0.6855  5 Pb 3.13-3.44
Pb 0.1667 0.5000 0.7935  8 Y 3.13-3.44
Pb 0.3333 0.0000 0.2065  8 Y 3.13-3.44
Pb 0.6667 0.0000 0.7935  8 Y 3.13-3.44
Pb 0.8333 0.5000 0.2065  8 Y 3.13-3.44

Output
DFT formation energy (eV/atom): -0.39

***

# 4
Computed, not measured: a relaxed NaInCl2 crystal at the PBE level of DFT.

abc: 6.8009 6.8009 12.7677
angles: 90.00 90.00 90.00
With the nearest neighbours (Å) after each atom.
Sites, in units of the cell vectors:
Na 0.0000 0.0000 0.0000  4 Cl 2.71
Na 0.0000 0.5000 0.2500  4 Cl 2.71
Na 0.5000 0.0000 0.7500  4 Cl 2.71
Na 0.5000 0.5000 0.5000  4 Cl 2.71
In 0.0000 0.0000 0.5000  4 Cl 3.08
In 0.0000 0.5000 0.7500  4 Cl 3.08
In 0.5000 0.0000 0.2500  4 Cl 3.08
In 0.5000 0.5000 0.0000  4 Cl 3.08
Cl 0.2043 0.2500 0.1250  2 Na 2.71
Cl 0.2500 0.7043 0.3750  2 Na 2.71
Cl 0.2500 0.7957 0.8750  2 Na 2.71
Cl 0.2957 0.2500 0.6250  2 Na 2.71
Cl 0.7043 0.7500 0.6250  2 Na 2.71
Cl 0.7500 0.2043 0.8750  2 Na 2.71
Cl 0.7500 0.2957 0.3750  2 Na 2.71
Cl 0.7957 0.7500 0.1250  2 Na 2.71

Output
Uncorrected formation energy (eV/f.u.): -4.91

***

# 5
Computed, not measured: a relaxed Y2CrCo2 crystal at the PBE level of DFT.

abc: 5.3452 5.3452 7.0646
angles: 90.00 90.00 90.00
With the nearest neighbours (Å) after each atom.
Sites, in units of the cell vectors:
Y 0.0000 0.5000 0.2500  4 Co 2.74
Y 0.0000 0.5000 0.7500  4 Co 2.74
Y 0.5000 0.0000 0.2500  4 Co 2.74
Y 0.5000 0.0000 0.7500  4 Co 2.74
Cr 0.0000 0.0000 0.0000  2 Co 2.37
Cr 0.5000 0.5000 0.5000  2 Co 2.37
Co 0.0000 0.0000 0.3356  1 Co 2.32, 1 Cr 2.37
Co 0.0000 0.0000 0.6644  1 Co 2.32, 1 Cr 2.37
Co 0.5000 0.5000 0.1644  1 Co 2.32, 1 Cr 2.37
Co 0.5000 0.5000 0.8356  1 Co 2.32, 1 Cr 2.37

Output
DFT formation energy (eV/atom): 0.33

***

# 6
Computed, not measured: a relaxed AcCuSeS crystal at the PBE level of DFT.

abc: 11.5279 11.5279 11.5279
angles: 22.97 22.97 22.97
With the nearest neighbours (Å) after each atom.
Sites, in units of the cell vectors:
Ac 0.1050 0.1050 0.1050  4 S 2.84-3.12
Ac 0.8950 0.8950 0.8950  4 S 2.84-3.12
Cu 0.3054 0.3054 0.3054  4 Se 2.47-2.71
Cu 0.6946 0.6946 0.6946  4 Se 2.47-2.71
Se 0.3787 0.3787 0.3787  4 Cu 2.47-2.71
Se 0.6213 0.6213 0.6213  4 Cu 2.47-2.71
S 0.1977 0.1977 0.1977  4 Ac 2.84-3.12
S 0.8023 0.8023 0.8023  4 Ac 2.84-3.12

Output
Uncorrected formation energy (eV/f.u.): -5.03

***

# 7
Computed, not measured: a relaxed Rb2TlCl3 crystal at the PBE level of DFT.

abc: 4.6954 6.6230 14.0569
angles: 90.00 90.00 90.00
With the nearest neighbours (Å) after each atom.
Sites, in units of the cell vectors:
Rb 0.0000 0.0000 0.1662  6 Cl 3.31-3.35
Rb 0.0000 0.0000 0.8338  6 Cl 3.31-3.35
Rb 0.5000 0.5000 0.3338  6 Cl 3.31-3.35
Rb 0.5000 0.5000 0.6662  6 Cl 3.31-3.35
Tl 0.0000 0.0000 0.5000  6 Cl 3.29-3.31
Tl 0.5000 0.5000 0.0000  6 Cl 3.29-3.31
Cl 0.0000 0.5000 0.1636  2 Tl 3.29, 4 Rb 3.31-3.35
Cl 0.0000 0.5000 0.5000  2 Tl 3.31, 4 Rb 3.31
Cl 0.0000 0.5000 0.8364  2 Tl 3.29, 4 Rb 3.31-3.35
Cl 0.5000 0.0000 0.0000  2 Tl 3.31, 4 Rb 3.31
Cl 0.5000 0.0000 0.3364  2 Tl 3.29, 4 Rb 3.31-3.35
Cl 0.5000 0.0000 0.6636  2 Tl 3.29, 4 Rb 3.31-3.35

Output
Uncorrected formation energy (eV/f.u.): -9.83

***

# 8
Computed, not measured: a relaxed Dy6Hg2NO crystal at the PBE level of DFT.

abc: 6.7624 6.7624 6.7624
angles: 60.00 60.00 60.00
With the nearest neighbours (Å) after each atom.
Sites, in units of the cell vectors:
Dy 0.2478 0.2478 0.7522  1 N 2.37, 1 O 2.41
Dy 0.2478 0.7522 0.2478  1 N 2.37, 1 O 2.41
Dy 0.2478 0.7522 0.7522  1 N 2.37, 1 O 2.41
Dy 0.7522 0.2478 0.2478  1 N 2.37, 1 O 2.41
Dy 0.7522 0.2478 0.7522  1 N 2.37, 1 O 2.41
Dy 0.7522 0.7522 0.2478  1 N 2.37, 1 O 2.41
Hg 0.2500 0.2500 0.2500  12 Dy 3.38
Hg 0.7500 0.7500 0.7500  12 Dy 3.38
N 0.0000 0.0000 0.0000  6 Dy 2.37
O 0.5000 0.5000 0.5000  6 Dy 2.41

Output
Uncorrected formation energy (eV/f.u.): -11.74

***

# 9
Computed, not measured: a relaxed ScInCu2 crystal at the PBE level of DFT.

abc: 3.3397 3.3397 23.6033
angles: 90.00 90.00 120.00
With the nearest neighbours (Å) after each atom.
Sites, in units of the cell vectors:
Sc 0.0000 0.0000 0.0000  6 Cu 2.74
Sc 0.3333 0.6667 0.6667  6 Cu 2.74
Sc 0.6667 0.3333 0.3333  6 Cu 2.74
In 0.0000 0.0000 0.5000  6 Cu 2.77
In 0.3333 0.6667 0.1667  6 Cu 2.77
In 0.6667 0.3333 0.8333  6 Cu 2.77
Cu 0.0000 0.0000 0.2507  3 Sc 2.74, 3 In 2.77
Cu 0.0000 0.0000 0.7493  3 Sc 2.74, 3 In 2.77
Cu 0.3333 0.6667 0.4160  3 Sc 2.74, 3 In 2.77
Cu 0.3333 0.6667 0.9173  3 Sc 2.74, 3 In 2.77
Cu 0.6667 0.3333 0.0827  3 Sc 2.74, 3 In 2.77
Cu 0.6667 0.3333 0.5840  3 Sc 2.74, 3 In 2.77

Output
DFT formation energy (eV/atom): 0.07

***

# 10
Computed, not measured: a relaxed ZnTcSe2 crystal at the PBE level of DFT.

abc: 3.3945 4.4834 5.5175
angles: 99.34 90.12 112.21
With the nearest neighbours (Å) after each atom.
Sites, in units of the cell vectors:
Zn 0.0000 0.0000 0.0000  3 Se 2.57-2.63, 1 Tc 2.69
Tc 0.9148 0.8272 0.5071  5 Se 2.48-2.53, 1 Zn 2.69
Se 0.3080 0.6152 0.1767  2 Tc 2.53, 3 Zn 2.57-2.63
Se 0.6333 0.2646 0.6114  3 Tc 2.48-2.50

Output
Uncorrected formation energy (eV/f.u.): -0.46

***

# 11
Computed, not measured: a relaxed Nd2Y4Ho7 crystal at the PBE level of DFT.

abc: 6.0773 6.0773 13.3359
angles: 90.00 90.00 120.00
With the nearest neighbours (Å) after each atom.
Sites, in units of the cell vectors:
Nd 0.3333 0.6667 0.0000  9 Ho 3.49-3.51, 3 Nd 3.51
Nd 0.6667 0.3333 0.0000  9 Ho 3.49-3.51, 3 Nd 3.51
Y 0.0000 0.0000 0.3946  1 Y 2.81
Y 0.0000 0.0000 0.6054  1 Y 2.81
Y 0.3333 0.6667 0.5000  9 Y 3.51-3.78
Y 0.6667 0.3333 0.5000  9 Y 3.51-3.78
Ho 0.0000 0.0000 0.0000  6 Nd 3.51, 6 Ho 3.60
Ho 0.0000 0.3541 0.2161  1 Y 3.21, 4 Ho 3.40, 2 Nd 3.49
Ho 0.0000 0.6459 0.7839  1 Y 3.21, 4 Ho 3.40, 2 Nd 3.49
Ho 0.3541 0.0000 0.2161  1 Y 3.21, 4 Ho 3.40, 2 Nd 3.49
Ho 0.3541 0.3541 0.7839  1 Y 3.21, 4 Ho 3.40, 2 Nd 3.49
Ho 0.6459 0.0000 0.7839  1 Y 3.21, 4 Ho 3.40, 2 Nd 3.49
Ho 0.6459 0.6459 0.2161  1 Y 3.21, 4 Ho 3.40, 2 Nd 3.49

Output
DFT formation energy (eV/atom): 0.18

***

# 12
Computed, not measured: a relaxed Ac2LaNd3Y6 crystal at the PBE level of DFT.

abc: 6.4164 6.4164 12.0006
angles: 95.11 95.11 120.00
With the nearest neighbours (Å) after each atom.
Sites, in units of the cell vectors:
Ac 0.1666 0.8334 0.0000  6 Y 3.69, 3 Ac 3.70, 3 La 3.70
Ac 0.8334 0.1666 0.0000  6 Y 3.69, 3 Ac 3.70, 3 La 3.70
La 0.5000 0.5000 0.0000  6 Y 3.69, 6 Ac 3.70
Nd 0.0000 0.0000 0.5000  6 Y 3.60, 6 Nd 3.70-3.71
Nd 0.3334 0.6666 0.5000  6 Y 3.60-3.61, 6 Nd 3.70-3.71
Nd 0.6666 0.3334 0.5000  6 Y 3.60-3.61, 6 Nd 3.70-3.71
Y 0.0832 0.4153 0.7452  3 Nd 3.60-3.61, 1 La 3.69, 6 Y 3.69-3.71, 2 Ac 3.69
Y 0.2527 0.2527 0.2547  3 Nd 3.60, 1 La 3.69, 6 Y 3.69-3.71, 2 Ac 3.69
Y 0.4153 0.0832 0.7452  3 Nd 3.60-3.61, 1 La 3.69, 6 Y 3.69-3.71, 2 Ac 3.69
Y 0.5847 0.9168 0.2548  3 Nd 3.60-3.61, 1 La 3.69, 6 Y 3.69-3.71, 2 Ac 3.69
Y 0.7473 0.7473 0.7453  3 Nd 3.60, 1 La 3.69, 6 Y 3.69-3.71, 2 Ac 3.69
Y 0.9168 0.5847 0.2548  3 Nd 3.60-3.61, 1 La 3.69, 6 Y 3.69-3.71, 2 Ac 3.69

Output
DFT formation energy (eV/atom): 0.02

***

# 13
Computed, not measured: a relaxed Li2YAl crystal at the PBE level of DFT.

abc: 3.3811 3.3811 7.5042
angles: 90.00 90.00 90.00
With the nearest neighbours (Å) after each atom.
Sites, in units of the cell vectors:
Li 0.0000 0.0000 0.0000  4 Al 2.83, 4 Li 2.88
Li 0.5000 0.5000 0.2131  4 Li 2.88, 1 Al 3.11
Y 0.0000 0.0000 0.5370  4 Al 3.09, 4 Y 3.38, 4 Li 3.41
Al 0.5000 0.5000 0.7984  5 Li 2.83-3.11, 4 Y 3.09

Output
DFT formation energy (eV/atom): -0.09

***

# 14
Computed, not measured: a relaxed MgSiPd3 crystal at the PBE level of DFT.

abc: 5.5087 5.5087 5.5087
angles: 79.74 79.74 79.74
With the nearest neighbours (Å) after each atom.
Sites, in units of the cell vectors:
Mg 0.2500 0.2500 0.2500  9 Pd 2.67-2.89, 2 Si 2.78
Mg 0.7500 0.7500 0.7500  9 Pd 2.67-2.89, 2 Si 2.78
Si 0.0000 0.0000 0.0000  6 Pd 2.40
Si 0.5000 0.5000 0.5000  6 Pd 2.40
Pd 0.1281 0.7500 0.3719  2 Si 2.40, 1 Mg 2.67
Pd 0.2500 0.6281 0.8719  2 Si 2.40, 1 Mg 2.67
Pd 0.3719 0.1281 0.7500  2 Si 2.40, 1 Mg 2.67
Pd 0.6281 0.8719 0.2500  2 Si 2.40, 1 Mg 2.67
Pd 0.7500 0.3719 0.1281  2 Si 2.40, 1 Mg 2.67
Pd 0.8719 0.2500 0.6281  2 Si 2.40, 1 Mg 2.67

Output
Uncorrected formation energy (eV/f.u.): -2.96

***

# 15
Computed, not measured: a relaxed Tm2UCr2C4 crystal at the PBE level of DFT.

abc: 6.5013 6.5013 5.9857
angles: 108.81 108.81 29.65
With the nearest neighbours (Å) after each atom.
Sites, in units of the cell vectors:
Tm 0.1366 0.1366 0.0465  7 C 2.52-2.76
Tm 0.8634 0.8634 0.9535  7 C 2.52-2.76
U 0.0000 0.0000 0.5000  6 C 2.38-2.63
Cr 0.3200 0.3200 0.5110  4 C 1.99-2.09
Cr 0.6800 0.6800 0.4890  4 C 1.99-2.09
C 0.2203 0.2203 0.7131  3 Cr 2.01-2.09
C 0.4722 0.4722 0.7591  1 Cr 1.99
C 0.5278 0.5278 0.2409  1 Cr 1.99
C 0.7797 0.7797 0.2869  3 Cr 2.01-2.09

Output
DFT formation energy (eV/atom): -0.10

***

# 16
Computed, not measured: a relaxed Co2CuTe crystal at the PBE level of DFT.

abc: 3.2247 3.2247 20.1154
angles: 90.00 90.00 120.00
With the nearest neighbours (Å) after each atom.
Sites, in units of the cell vectors:
Co 0.0000 0.0000 0.2466  3 Cu 2.46, 3 Te 2.55
Co 0.0000 0.0000 0.7534  3 Cu 2.46, 3 Te 2.55
Co 0.3333 0.6667 0.4200  3 Cu 2.46, 3 Te 2.55
Co 0.3333 0.6667 0.9133  3 Cu 2.46, 3 Te 2.55
Co 0.6667 0.3333 0.0867  3 Cu 2.46, 3 Te 2.55
Co 0.6667 0.3333 0.5800  3 Cu 2.46, 3 Te 2.55
Cu 0.0000 0.0000 0.5000  6 Co 2.46
Cu 0.3333 0.6667 0.1667  6 Co 2.46
Cu 0.6667 0.3333 0.8333  6 Co 2.46
Te 0.0000 0.0000 0.0000  6 Co 2.55
Te 0.3333 0.6667 0.6667  6 Co 2.55
Te 0.6667 0.3333 0.3333  6 Co 2.55

Output
Uncorrected formation energy (eV/f.u.): 2.20

***

# 17
Computed, not measured: a relaxed CsLiAg2W crystal at the PBE level of DFT.

abc: 5.0020 5.0020 5.3108
angles: 90.00 90.00 90.00
With the nearest neighbours (Å) after each atom.
Sites, in units of the cell vectors:
Cs 0.0000 0.0000 0.0000  2 Li 2.66
Li 0.0000 0.0000 0.5000  4 Ag 2.50, 2 Cs 2.66
Ag 0.0000 0.5000 0.5000  2 Li 2.50
Ag 0.5000 0.0000 0.5000  2 Li 2.50
W 0.5000 0.5000 0.0000  4 Cs 3.54, 8 Ag 3.65

Output
DFT formation energy (eV/atom): 1.57

***

# 18
Computed, not measured: a relaxed Pm2TlAu2O6 crystal at the PBE level of DFT.

abc: 5.6856 6.2528 6.8940
angles: 67.30 67.60 75.69
With the nearest neighbours (Å) after each atom.
Sites, in units of the cell vectors:
Pm 0.0068 0.3532 0.3196  6 O 2.24-2.44
Pm 0.9932 0.6468 0.6804  6 O 2.24-2.44
Tl 0.0000 0.0000 0.0000  4 O 2.36-2.63
Au 0.4399 0.7972 0.1691  3 O 2.02-2.14
Au 0.5601 0.2028 0.8309  3 O 2.02-2.14
O 0.0867 0.9524 0.3233  1 Au 2.08
O 0.2046 0.3671 0.9335  1 Au 2.02
O 0.2815 0.4821 0.4000  1 Au 2.14, 1 Pm 2.24
O 0.7185 0.5179 0.6000  1 Au 2.14, 1 Pm 2.24
O 0.7954 0.6329 0.0665  1 Au 2.02
O 0.9133 0.0476 0.6767  1 Au 2.08

Output
Uncorrected formation energy (eV/f.u.): -16.52

***

# 19
Computed, not measured: a relaxed TaMnTl2S4 crystal at the PBE level of DFT.

abc: 6.7343 6.7343 10.2135
angles: 90.00 90.00 90.00
With the nearest neighbours (Å) after each atom.
Sites, in units of the cell vectors:
Ta 0.0000 0.0000 0.0000  4 S 2.31
Ta 0.5000 0.5000 0.5000  4 S 2.31
Mn 0.0000 0.5000 0.7500  4 S 2.36
Mn 0.5000 0.0000 0.2500  4 S 2.36
Tl 0.0000 0.0000 0.5000  4 S 3.20
Tl 0.0000 0.5000 0.2500  4 S 3.15
Tl 0.5000 0.0000 0.7500  4 S 3.15
Tl 0.5000 0.5000 0.0000  4 S 3.20
S 0.1479 0.7560 0.8746  1 Ta 2.31, 1 Mn 2.36
S 0.2440 0.1479 0.1254  1 Ta 2.31, 1 Mn 2.36
S 0.2560 0.3521 0.6254  1 Ta 2.31, 1 Mn 2.36
S 0.3521 0.7440 0.3746  1 Ta 2.31, 1 Mn 2.36
S 0.6479 0.2560 0.3746  1 Ta 2.31, 1 Mn 2.36
S 0.7440 0.6479 0.6254  1 Ta 2.31, 1 Mn 2.36
S 0.7560 0.8521 0.1254  1 Ta 2.31, 1 Mn 2.36
S 0.8521 0.2440 0.8746  1 Ta 2.31, 1 Mn 2.36

Output
Uncorrected formation energy (eV/f.u.): -4.35

***

# 20
Computed, not measured: a relaxed TaGeRu crystal at the PBE level of DFT.

abc: 3.0099 3.0099 10.2019
angles: 90.00 90.00 90.00
With the nearest neighbours (Å) after each atom.
Sites, in units of the cell vectors:
Ta 0.0000 0.0000 0.0000  4 Ru 2.81, 4 Ge 2.82, 4 Ta 3.01
Ta 0.5000 0.5000 0.5000  4 Ru 2.81, 4 Ge 2.82, 4 Ta 3.01
Ge 0.0000 0.0000 0.3184  4 Ru 2.55, 4 Ta 2.82
Ge 0.5000 0.5000 0.8184  4 Ru 2.55, 4 Ta 2.82
Ru 0.0000 0.0000 0.6801  4 Ge 2.55, 4 Ta 2.81
Ru 0.5000 0.5000 0.1801  4 Ge 2.55, 4 Ta 2.81

Output
DFT formation energy (eV/atom): -0.25